The following is a PBE-GGA calculation of crystalline Sr2Cd6HgPt at its relaxed geometry, from Alexandria.

```
data_Sr2Cd6HgPt
_symmetry_space_group_name_H-M 'P 1'
_symmetry_Int_Tables_number 1
_cell_length_a 7.9584
_cell_length_b 7.1891
_cell_length_c 9.8280
_cell_angle_alpha 90.00
_cell_angle_beta 90.00
_cell_angle_gamma 90.00
loop_
_symmetry_equiv_pos_as_xyz
'x,y,z'
loop_
_atom_site_label
_atom_site_type_symbol
_atom_site_fract_x
_atom_site_fract_y
_atom_site_fract_z
_atom_site_occupancy
Sr1 Sr 0.5000 0.7323 0.2796 1
Sr2 Sr 0.0000 0.2677 0.7796 1
Sr3 Sr 0.5000 0.7323 0.7204 1
Sr4 Sr 0.0000 0.2677 0.2204 1
Cd1 Cd 0.5000 0.2197 0.2491 1
Cd2 Cd 0.5000 0.2197 0.7509 1
Cd3 Cd 0.0000 0.7803 0.2509 1
Cd4 Cd 0.0000 0.7803 0.7491 1
Cd5 Cd 0.1764 0.9556 0.5000 1
Cd6 Cd 0.8236 0.9556 0.5000 1
Cd7 Cd 0.3074 0.3742 0.5000 1
Cd8 Cd 0.6926 0.3742 0.5000 1
Cd9 Cd 0.8074 0.6258 0.0000 1
Cd10 Cd 0.1926 0.6258 0.0000 1
Cd11 Cd 0.3236 0.0444 0.0000 1
Cd12 Cd 0.6764 0.0444 0.0000 1
Hg1 Hg 0.0000 0.5624 0.5000 1
Hg2 Hg 0.5000 0.4376 0.0000 1
Pt1 Pt 0.5000 0.0451 0.5000 1
Pt2 Pt 0.0000 0.9549 0.0000 1
```

symmetry	No. 59
density	7.36	g cm⁻³
formation energy from the elements	-0.28	eV/atom
raw total energy	-1.801	eV per atom
magnetic moment	0.00	μB/cell
density of states at the Fermi level	0.43	states/eV per atom